Record 1
Np4B: optimized geometry, GGA-PBE.

The structure in POSCAR format:
```
Np4B
1.0
-1.8093 -3.1301 -3.0229
3.7967 -2.7351 0.5596
-2.1261 -2.2206 3.5719
Np B
4 1
Cartesian
0.0000 0.0000 0.0000
-1.9677 -2.6753 0.2745
0.8353 -2.4778 2.0657
0.9937 -2.9326 -1.2317
-0.0694 -4.0429 0.5543
```

Properties
* magnetization: 12.680 μB per formula unit
* E_tot: -10.86 eV/atom
* ΔE_f: 829 meV per atom

Record 2
SrMn2CuSe4: optimized geometry, GGA-PBE.

The structure in POSCAR format:
```
SrMn2CuSe4
1.0
-0.0328 2.8919 -2.6929
-6.0916 -2.9801 -0.2265
-4.6087 8.7058 9.4052
Sr Mn Cu Se
2 4 2 8
Cartesian
-5.0390 6.1319 6.6464
-5.6943 2.4857 -0.1606
-7.1552 3.7831 4.1498
-1.8797 1.6265 -1.1299
-3.5780 4.8345 2.3359
-8.8535 6.9911 7.6156
-7.7212 6.9083 4.6134
-3.0120 1.7093 1.8723
-3.6737 0.1049 0.1574
-5.7155 5.9738 3.5854
-7.0595 8.5127 6.3283
-5.0178 2.6438 2.9003
-2.3044 4.3529 4.7026
0.0000 0.0000 0.0000
-8.9617 5.1466 5.6362
-1.7715 3.4710 0.8496
```

Properties
* magnetization: 8.997 μB per formula unit
* E_tot: -5.47 eV/atom
* uncorrected formation energy: -0.716 eV/atom

Record 3
Y3ScCu: optimized geometry, GGA-PBE.

The structure in POSCAR format:
```
Y3ScCu
1.0
-1.3150 -0.7805 -5.1296
2.7297 -4.6044 0.0008
-4.4126 -2.6157 1.5292
Y Sc Cu
3 1 1
Cartesian
1.3648 -2.3022 0.0004
-2.2063 -1.3079 0.7646
-0.6575 -0.3903 -2.5648
-1.4990 -4.0003 -1.7998
0.0000 0.0000 0.0000
```

Properties
* magnetization: 0.002 μB per formula unit
* E_tot: -5.75 eV/atom
* ΔE_f: 210 meV per atom

Record 4
MgNpNi10: optimized geometry, GGA-PBE.

The structure in POSCAR format:
```
MgNpNi10
1.0
-2.1201 1.9684 2.7277
-3.7487 -2.8682 -0.8438
2.6739 -5.2130 5.8401
Mg Np Ni
1 1 10
Cartesian
-0.5374 -4.0406 2.4981
0.0000 0.0000 0.0000
0.8969 -1.7486 1.9590
0.3373 -5.7458 4.4086
-1.4121 -2.3353 0.5877
1.7770 -3.4643 3.8811
0.2769 -1.6223 4.2839
-2.9344 -0.4499 0.9419
-1.3232 -1.0319 2.6142
-1.8716 -5.0809 5.1098
-3.2085 -2.4744 2.1898
0.0137 -3.6383 5.5342
```

Properties
* magnetization: 0.444 μB per formula unit
* E_tot: -6.11 eV/atom
* ΔE_f: -78 meV per atom

Record 5
LiHoCdCl6: optimized geometry, GGA-PBE.

The structure in POSCAR format:
```
LiHoCdCl6
1.0
-4.3015 -5.0422 0.7585
4.4633 -0.1402 -4.9560
7.7767 -5.5571 7.1608
Li Ho Cd Cl
2 2 2 12
Cartesian
0.0000 0.0000 0.0000
3.8884 -2.7786 3.5804
3.4859 -3.1635 -1.2609
4.4527 -7.5760 4.2243
0.5643 -4.7975 0.6439
7.3743 -5.9420 2.3195
1.1009 -4.1201 -1.8851
2.4825 -0.7643 -0.7813
3.4197 -5.1934 4.7232
5.4561 -9.9752 3.7447
2.9788 -3.8243 1.2489
5.8553 -2.1889 -0.6058
3.9595 -8.2024 6.7457
4.5189 -5.5461 -1.7599
2.0833 -8.5506 3.5692
3.9790 -2.5371 -3.7823
4.9598 -6.9152 1.7145
6.8376 -6.6194 4.8485
```

Properties
* magnetization: 0.000 μB per formula unit
* E_tot: -3.80 eV/atom
* uncorrected formation energy: -1.747 eV/atom

Record 6
Rb2HSeI6: optimized geometry, GGA-PBE.

The structure in POSCAR format:
```
Rb2HSeI6
1.0
8.9984 0.0000 0.0000
0.0000 8.9984 0.0000
4.4992 4.4992 5.0412
I H Se Rb
6 1 1 2
Cartesian
4.4992 4.4992 1.9062
8.9984 8.9984 3.1350
1.9958 1.9958 0.0000
7.0026 7.0026 0.0000
7.0026 1.9958 0.0000
1.9958 7.0026 0.0000
4.4992 4.4992 0.0000
0.0000 0.0000 0.0000
8.9984 4.4992 2.5206
4.4992 8.9984 2.5206
```

Properties
* magnetization: 0.000 μB per formula unit
* E_tot: -2.36 eV/atom